(1)
The following is a DFT calculation (PBE-GGA) of a geometry-optimized LiYGa2Au4 structure.

Values from the calculation:
The calculation puts the formation energy at -0.551 eV/atom.

Unit cell a=8.680 b=8.680 c=8.680 alpha=30.28 beta=30.28 gamma=30.28
Element x y z (fractional)
Li: 0.000 0.000 0.000
Y: 0.500 0.500 0.500
Ga: 0.256 0.256 0.256
Ga: 0.744 0.744 0.744
Au: 0.106 0.106 0.106
Au: 0.367 0.367 0.367
Au: 0.633 0.633 0.633
Au: 0.894 0.894 0.894

=====

(2)
The following is a DFT calculation (PBE-GGA) of a geometry-optimized CdSeBr3 structure.

Values from the calculation:
The value obtained for the uncorrected energy is -1.846 eV/atom.

Unit cell a=5.510 b=5.510 c=5.510 alpha=90.00 beta=90.00 gamma=90.00
Element x y z (fractional)
Cd: 0.000 0.000 0.000
Se: 0.500 0.500 0.500
Br: 0.000 0.000 0.500
Br: 0.000 0.500 0.000
Br: 0.500 0.000 0.000

=====

(3)
The following is a DFT calculation (PBE-GGA) of a geometry-optimized Rb2ReBr8 structure.

Values from the calculation:
The value obtained for the uncorrected energy is -3.221 eV/atom.

Unit cell a=8.277 b=8.277 c=6.744 alpha=94.54 beta=94.54 gamma=81.24
Element x y z (fractional)
Rb: 0.133 0.133 0.281
Rb: 0.867 0.867 0.719
Re: 0.500 0.500 0.500
Br: 0.138 0.138 0.780
Br: 0.216 0.536 0.606
Br: 0.403 0.403 0.161
Br: 0.464 0.784 0.394
Br: 0.536 0.216 0.606
Br: 0.597 0.597 0.839
Br: 0.784 0.464 0.394
Br: 0.862 0.862 0.220

=====

The records above give, respectively, D(E_F) values of 3.08; 0.00; 10.26 states/eV per cell.